## LiLaAsBr2 (SCAN)

Data for a crystal of LiLaAsBr2 relaxed with PBEsol.

```
LiLaAsBr2
1.0
-3.427 2.074 -3.818
-4.464 -0.714 3.619
0.864 5.321 2.115
As Li Br La
1 1 2 1
direct
0.500 0.000 0.000 As
0.500 0.500 0.500 Li
0.000 0.000 0.500 Br
0.000 0.500 0.000 Br
0.000 0.000 0.000 La
```

Calculated values
As for the total energy: -0.80626 hartree per atom. For the raw formation energy, the calculation gives -98.3 kJ per mole of atoms.